Ca4ReTc: PBEsol geometry, meta-GGA SCAN.

Volume: 22.15 Å³/atom
E_tot: -134.80 eV/f.u.
Formation energy from the elements: 1.669 eV/atom
Total magnetic moment: 0.411 μB/atom
Space group: F-43m, No. 216
DOS(E_F): 7.92 states/eV/cell

a = 5.729 Å, b = 5.729 Å, c = 5.729 Å
α = 60.00°, β = 60.00°, γ = 60.00°
Each line ends with the local moment (μB).
Element x y z (fractional)
Ca (0.375, 0.375, 0.375)  0.00
Ca (0.375, 0.375, 0.875)  0.00
Ca (0.875, 0.375, 0.375)  0.00
Ca (0.375, 0.875, 0.375)  0.00
Re (0.750, 0.750, 0.750)  -0.01
Tc (0.000, 0.000, 0.000)  2.15

=====

ZnHgAs2: PBEsol geometry, meta-GGA SCAN.

Volume: 20.74 Å³/atom
E_tot: -121.81 eV/f.u.
Formation energy from the elements: 0.064 eV/atom
Total magnetic moment: 0.000 μB/atom
Space group: Cm, No. 8
DOS(E_F): 0.83 states/eV/cell

a = 3.697 Å, b = 4.255 Å, c = 6.208 Å
α = 107.47°, β = 90.00°, γ = 115.75°
Element x y z (fractional)
As (0.951, 0.903, 0.034)
As (0.310, 0.620, 0.747)
Hg (0.521, 0.041, 0.494)
Zn (0.718, 0.436, 0.225)

=====

LaMgN2O: PBEsol geometry, meta-GGA SCAN.

Volume: 16.19 Å³/atom
E_tot: -72.33 eV/f.u.
Total magnetic moment: 0.001 μB/atom
Space group: P4/mmm, No. 123
Uncorrected formation energy: 10.8 kJ per mole of atoms
DOS(E_F): 2.41 states/eV/cell

a = 4.321 Å, b = 4.321 Å, c = 4.336 Å
α = 90.00°, β = 90.00°, γ = 90.00°
Element x y z (fractional)
Mg (0.500, 0.500, 0.500)
N (0.000, 0.500, 0.000)
N (0.500, 0.000, 0.000)
O (0.000, 0.000, 0.500)
La (0.000, 0.000, 0.000)

=====

Ti2Cu2Pb: PBEsol geometry, meta-GGA SCAN.

Volume: 16.95 Å³/atom
E_tot: -137.38 eV/f.u.
Formation energy from the elements: 0.173 eV/atom
Total magnetic moment: 0.000 μB/atom
Space group: I4/mmm, No. 139
DOS(E_F): 3.94 states/eV/cell

a = 3.278 Å, b = 3.278 Å, c = 8.220 Å
α = 101.50°, β = 101.50°, γ = 90.00°
Element x y z (fractional)
Pb (0.000, 0.000, 0.000)
Cu (0.250, 0.750, 0.500)
Cu (0.750, 0.250, 0.500)
Ti (0.380, 0.380, 0.761)
Ti (0.620, 0.620, 0.239)

=====

SrLi: PBEsol geometry, meta-GGA SCAN.

Volume: 36.69 Å³/atom
E_tot: -24.60 eV/f.u.
Formation energy from the elements: 0.032 eV/atom
Total magnetic moment: 0.009 μB/atom
Space group: Pm-3m, No. 221
DOS(E_F): 1.98 states/eV/cell

a = 4.187 Å, b = 4.187 Å, c = 4.187 Å
α = 90.00°, β = 90.00°, γ = 90.00°
Element x y z (fractional)
Sr (0.500, 0.500, 0.500)
Li (0.000, 0.000, 0.000)

=====

HfBeTl2C: PBEsol geometry, meta-GGA SCAN.

Volume: 29.04 Å³/atom
E_tot: -210.74 eV/f.u.
Formation energy from the elements: 2.220 eV/atom
Total magnetic moment: 0.102 μB/atom
Space group: P4/mmm, No. 123
DOS(E_F): 3.00 states/eV/cell

a = 4.714 Å, b = 5.550 Å, c = 5.550 Å
α = 90.00°, β = 90.00°, γ = 90.00°
Each line ends with the local moment (μB).
Element x y z (fractional)
Be (0.500, 0.000, 0.000)  -0.11
Tl (0.000, 0.000, 0.500)  -0.08
Tl (0.000, 0.500, 0.000)  -0.08
Hf (0.000, 0.000, 0.000)  -0.54
C (0.500, 0.500, 0.500)  0.94

=====

Hg2IN: PBEsol geometry, meta-GGA SCAN.

Volume: 26.69 Å³/atom
E_tot: -181.04 eV/f.u.
Total magnetic moment: 0.000 μB/atom
Space group: Fd-3m, No. 227
Uncorrected formation energy: 32.0 kJ per mole of atoms

a = 6.709 Å, b = 6.709 Å, c = 6.709 Å
α = 60.00°, β = 60.00°, γ = 60.00°
Element x y z (fractional)
I (0.750, 0.750, 0.750)
I (0.500, 0.500, 0.500)
Hg (0.125, 0.125, 0.625)
Hg (0.125, 0.125, 0.125)
Hg (0.625, 0.125, 0.125)
Hg (0.125, 0.625, 0.125)
N (0.250, 0.250, 0.250)
N (0.000, 0.000, 0.000)

=====

Zn4Au5: PBEsol geometry, meta-GGA SCAN.

Volume: 15.66 Å³/atom
E_tot: -401.18 eV/f.u.
Formation energy from the elements: -0.148 eV/atom
Total magnetic moment: 0.000 μB/atom
Space group: I4/mmm, No. 139
DOS(E_F): 2.21 states/eV/cell

a = 4.086 Å, b = 6.219 Å, c = 6.219 Å
α = 83.80°, β = 70.82°, γ = 70.82°
Element x y z (fractional)
Au (0.000, 0.000, 0.000)
Au (0.671, 0.000, 0.658)
Au (0.329, 0.342, 0.000)
Au (0.671, 0.658, 0.000)
Au (0.329, 0.000, 0.342)
Zn (0.664, 0.336, 0.336)
Zn (0.336, 0.664, 0.664)
Zn (0.000, 0.664, 0.336)
Zn (0.000, 0.336, 0.664)

=====

LiPt2W: PBEsol geometry, meta-GGA SCAN.

Volume: 14.39 Å³/atom
E_tot: -214.28 eV/f.u.
Formation energy from the elements: -0.454 eV/atom
Total magnetic moment: 0.000 μB/atom
Space group: Cmmm, No. 65
DOS(E_F): 1.98 states/eV/cell

a = 2.709 Å, b = 4.704 Å, c = 4.704 Å
α = 106.24°, β = 90.00°, γ = 90.00°
Element x y z (fractional)
Pt (0.000, 0.500, 0.000)
Pt (0.000, 0.000, 0.500)
W (0.500, 0.000, 0.000)
Li (0.500, 0.500, 0.500)

=====

BaLaMg6: PBEsol geometry, meta-GGA SCAN.

Volume: 28.73 Å³/atom
E_tot: -112.60 eV/f.u.
Formation energy from the elements: -0.013 eV/atom
Total magnetic moment: 0.026 μB/atom
Space group: Amm2, No. 38
DOS(E_F): 7.90 states/eV/cell

a = 5.322 Å, b = 7.062 Å, c = 7.062 Å
α = 119.99°, β = 90.00°, γ = 90.00°
Each line ends with the local moment (μB).
Element x y z (fractional)
Mg (0.000, 0.055, 0.402)  0.00
Mg (0.000, 0.598, 0.945)  0.00
Mg (0.000, 0.597, 0.403)  0.00
Mg (0.500, 0.425, 0.088)  0.00
Mg (0.500, 0.912, 0.575)  0.00
Mg (0.500, 0.913, 0.087)  0.01
Ba (0.500, 0.416, 0.584)  0.02
La (0.000, 0.083, 0.917)  -0.07

=====

Cr2ReNi: PBEsol geometry, meta-GGA SCAN.

Volume: 12.03 Å³/atom
E_tot: -123.62 eV/f.u.
Formation energy from the elements: 0.104 eV/atom
Total magnetic moment: 0.000 μB/atom
Space group: P2/m, No. 10
DOS(E_F): 3.82 states/eV/cell

a = 2.478 Å, b = 4.081 Å, c = 4.830 Å
α = 90.00°, β = 99.90°, γ = 90.00°
Element x y z (fractional)
Cr (0.790, 0.000, 0.764)
Cr (0.210, 0.000, 0.236)
Ni (0.500, 0.500, 0.000)
Re (0.000, 0.500, 0.500)

=====

LaNi3B: PBEsol geometry, meta-GGA SCAN.

Volume: 13.96 Å³/atom
E_tot: -101.29 eV/f.u.
Formation energy from the elements: -0.448 eV/atom
Total magnetic moment: 0.000 μB/atom
Space group: Imma, No. 74
DOS(E_F): 5.48 states/eV/cell

a = 4.876 Å, b = 5.908 Å, c = 5.908 Å
α = 72.83°, β = 65.63°, γ = 65.63°
Element x y z (fractional)
La (0.427, 0.823, 0.323)
La (0.573, 0.177, 0.677)
Ni (0.000, 0.322, 0.178)
Ni (0.000, 0.678, 0.822)
Ni (0.500, 0.678, 0.822)
Ni (0.500, 0.322, 0.178)
Ni (0.000, 0.000, 0.000)
Ni (0.000, 0.500, 0.500)
B (0.869, 0.381, 0.881)
B (0.131, 0.619, 0.119)